No. 1
Computed, not measured: crystalline SrNpSn2 at its relaxed geometry at the GGA-PBE level of DFT.

Output
raw total energy = -5.9225 eV per atom

Cell lengths 3.477, 3.477, 9.388 Å; angles 90.00, 90.00, 90.00 degrees
Fractional coordinates of all 4 atoms:
Sr 0.000 0.000 0.000
Np 0.000 0.000 0.500
Sn 0.500 0.500 0.263
Sn 0.500 0.500 0.737

---

No. 2
Computed, not measured: crystalline NpTaSn2 at its relaxed geometry at the GGA-PBE level of DFT.

Output
raw total energy = -7.7533 eV per atom

Cell lengths 11.477, 11.477, 11.477 Å; angles 15.36, 15.36, 15.36 degrees
Fractional coordinates of all 4 atoms:
Np 0.000 0.000 0.000
Ta 0.500 0.500 0.500
Sn 0.416 0.416 0.416
Sn 0.584 0.584 0.584

---

No. 3
Computed, not measured: crystalline TbNpSn6 at its relaxed geometry at the GGA-PBE level of DFT.

Output
raw total energy = -5.4902 eV per atom

Cell lengths 4.702, 4.702, 9.273 Å; angles 90.00, 90.00, 90.00 degrees
Fractional coordinates of all 8 atoms:
Tb 0.000 0.000 0.000
Np 0.000 0.000 0.500
Sn 0.000 0.500 0.253
Sn 0.000 0.500 0.747
Sn 0.500 0.000 0.253
Sn 0.500 0.000 0.747
Sn 0.500 0.500 0.000
Sn 0.500 0.500 0.500

---

No. 4
Computed, not measured: crystalline NpTc2Sn at its relaxed geometry at the GGA-PBE level of DFT.

Output
relative energy among the computed polymorphs = 0.000 eV/atom

Cell lengths 4.554, 4.554, 3.466 Å; angles 90.00, 90.00, 90.00 degrees
Fractional coordinates of all 4 atoms:
Np 0.000 0.000 0.000
Tc 0.000 0.500 0.500
Tc 0.500 0.000 0.500
Sn 0.500 0.500 0.000

---

| no. | DOS(E_F) (states/eV per cell) |
| --- | --- |
| 1 | 6.15 |
| 2 | 5.53 |
| 3 | 13.54 |
| 4 | 5.82 |